1.
Compound: SrTlSn2
Source: Alexandria via LeMat-Bulk
Functional: PBEsol
Structure: relaxed

The structure belongs to space group Fm-3m (No. 225); the cell edges are 7.759, 7.759 and 7.759 Å and the angles 90.00°, 90.00° and 90.00°. The inequivalent atoms are Sr at (0.000, 0.000, 0.000), Tl at (0.000, 0.000, 0.500) and Sn at (0.250, 0.250, 0.250).

As for the formation energy: -0.21 eV per atom. The value obtained for the mass density is 7.53 g cm⁻³. Its spin magnetization is 0.00 Bohr magnetons per cell. The value obtained for the density of states at the Fermi level is 2.48 states/eV/f.u.

2.
Compound: SrSnW3
Source: Alexandria via LeMat-Bulk
Functional: PBEsol
Structure: relaxed

The structure belongs to space group Pm-3m (No. 221); the cell edges are 4.773, 4.773 and 4.773 Å and the angles 90.00°, 90.00° and 90.00°. The inequivalent atoms are Sr at (0.000, 0.000, 0.000), Sn at (0.500, 0.500, 0.500) and W at (0.000, 0.000, 0.500).

As for the formation energy: 3.50 eV per atom. The value obtained for the mass density is 11.57 g cm⁻³. Its spin magnetization is 0.00 Bohr magnetons per cell. The value obtained for the density of states at the Fermi level is 6.93 states/eV/f.u.

3.
Compound: Sr2Zn2Sn
Source: Alexandria via LeMat-Bulk
Functional: PBEsol
Structure: relaxed

The structure belongs to space group P4/mbm (No. 127); the cell edges are 7.399, 7.399 and 4.829 Å and the angles 90.00°, 90.00° and 90.00°. The inequivalent atoms are Sr at (0.188, 0.312, 0.000), Zn at (0.116, 0.616, 0.500) and Sn at (0.000, 0.000, 0.500).

As for the formation energy: -0.34 eV per atom. The value obtained for the mass density is 5.34 g cm⁻³. Its spin magnetization is 0.00 Bohr magnetons per cell. The value obtained for the density of states at the Fermi level is 2.34 states/eV/f.u.

4.
Compound: Ta3Sn
Source: Alexandria via LeMat-Bulk
Functional: PBEsol
Structure: relaxed

The structure belongs to space group Pm-3n (No. 223); the cell edges are 5.256, 5.256 and 5.256 Å and the angles 90.00°, 90.00° and 90.00°. The inequivalent atoms are Ta at (0.000, 0.250, 0.500) and Sn at (0.000, 0.000, 0.000).

As for the formation energy: -0.08 eV per atom. The value obtained for the mass density is 15.13 g cm⁻³. Its spin magnetization is 0.00 Bohr magnetons per cell. The value obtained for the density of states at the Fermi level is 5.39 states/eV/f.u.

5.
Compound: TaSn2
Source: Alexandria via LeMat-Bulk
Functional: PBEsol
Structure: relaxed

The structure belongs to space group Fddd (No. 70, origin choice 2); the cell edges are 5.623, 9.731 and 19.088 Å and the angles 90.00°, 90.00° and 90.00°. The inequivalent atoms are Ta at (0.125, 0.125, 0.252), Sn at (0.125, 0.125, 0.544) and Sn at (0.125, 0.294, 0.125).

As for the formation energy: -0.08 eV per atom. The value obtained for the mass density is 10.64 g cm⁻³. Its spin magnetization is 0.00 Bohr magnetons per cell. The value obtained for the density of states at the Fermi level is 1.51 states/eV/f.u.

6.
Compound: TaTcSn3
Source: Alexandria via LeMat-Bulk
Functional: PBEsol
Structure: relaxed

The structure belongs to space group Pm-3m (No. 221); the cell edges are 5.022, 5.022 and 5.022 Å and the angles 90.00°, 90.00° and 90.00°. The inequivalent atoms are Ta at (0.000, 0.000, 0.000), Tc at (0.500, 0.500, 0.500) and Sn at (0.000, 0.500, 0.500).

As for the formation energy: 1.16 eV per atom. The value obtained for the mass density is 8.33 g cm⁻³. Its spin magnetization is 2.58 Bohr magnetons per cell. The value obtained for the density of states at the Fermi level is 7.10 states/eV/f.u.

7.
Compound: Ta2TcSnW
Source: Alexandria via LeMat-Bulk
Functional: PBEsol
Structure: relaxed

The structure belongs to space group P4/mmm (No. 123); the cell edges are 4.865, 4.865 and 4.767 Å and the angles 90.00°, 90.00° and 90.00°. The inequivalent atoms are Ta at (0.000, 0.500, 0.000), Tc at (0.000, 0.000, 0.500), Sn at (0.500, 0.500, 0.000) and W at (0.500, 0.500, 0.500).

As for the formation energy: 2.66 eV per atom. The value obtained for the mass density is 11.22 g cm⁻³. Its spin magnetization is 1.39 Bohr magnetons per cell. The value obtained for the density of states at the Fermi level is 5.65 states/eV/f.u.

8.
Compound: TaTiSn3
Source: Alexandria via LeMat-Bulk
Functional: PBEsol
Structure: relaxed

The structure belongs to space group Pm-3m (No. 221); the cell edges are 5.255, 5.255 and 5.255 Å and the angles 90.00°, 90.00° and 90.00°. The inequivalent atoms are Ta at (0.000, 0.000, 0.000), Ti at (0.500, 0.500, 0.500) and Sn at (0.000, 0.000, 0.500).

As for the formation energy: 0.86 eV per atom. The value obtained for the mass density is 6.69 g cm⁻³. Its spin magnetization is 2.34 Bohr magnetons per cell. The value obtained for the density of states at the Fermi level is 5.36 states/eV/f.u.

9.
Compound: TaTl3Sn
Source: Alexandria via LeMat-Bulk
Functional: PBEsol
Structure: relaxed

The structure belongs to space group Pm-3m (No. 221); the cell edges are 5.379, 5.379 and 5.379 Å and the angles 90.00°, 90.00° and 90.00°. The inequivalent atoms are Ta at (0.000, 0.000, 0.000), Tl at (0.000, 0.000, 0.500) and Sn at (0.500, 0.500, 0.500).

As for the formation energy: 0.78 eV per atom. The value obtained for the mass density is 9.74 g cm⁻³. Its spin magnetization is 0.00 Bohr magnetons per cell. The distance to the lowest polymorph of the same formula is 0.0000 eV/atom. The value obtained for the density of states at the Fermi level is 2.31 states/eV/f.u.

10.
Compound: TaTlSn2
Source: Alexandria via LeMat-Bulk
Functional: PBEsol
Structure: relaxed

The structure belongs to space group Fm-3m (No. 225); the cell edges are 7.161, 7.161 and 7.161 Å and the angles 90.00°, 90.00° and 90.00°. The inequivalent atoms are Ta at (0.000, 0.000, 0.000), Tl at (0.000, 0.000, 0.500) and Sn at (0.250, 0.250, 0.250).

As for the formation energy: 0.62 eV per atom. The value obtained for the mass density is 11.27 g cm⁻³. Its spin magnetization is 0.00 Bohr magnetons per cell. The value obtained for the density of states at the Fermi level is 3.50 states/eV/f.u.

11.
Compound: TaTl2Sn2
Source: Alexandria via LeMat-Bulk
Functional: PBEsol
Structure: relaxed

The structure belongs to space group I4/mmm (No. 139); the cell edges are 3.965, 3.965 and 16.360 Å and the angles 90.00°, 90.00° and 90.00°. The inequivalent atoms are Ta at (0.000, 0.000, 0.000), Tl at (0.000, 0.000, 0.412) and Sn at (0.000, 0.500, 0.250).

As for the formation energy: 0.86 eV per atom. The value obtained for the mass density is 10.68 g cm⁻³. Its spin magnetization is 1.83 Bohr magnetons per cell. The value obtained for the density of states at the Fermi level is 4.63 states/eV/f.u.

12.
Compound: TaTl3Sn
Source: Alexandria via LeMat-Bulk
Functional: PBEsol
Structure: relaxed

The structure belongs to space group Pm-3m (No. 221); the cell edges are 5.507, 5.507 and 5.507 Å and the angles 90.00°, 90.00° and 90.00°. The inequivalent atoms are Ta at (0.000, 0.000, 0.000), Tl at (0.000, 0.500, 0.500) and Sn at (0.500, 0.500, 0.500).

As for the formation energy: 1.56 eV per atom. The value obtained for the mass density is 9.08 g cm⁻³. Its spin magnetization is 3.17 Bohr magnetons per cell. The distance to the lowest polymorph of the same formula is 0.7772 eV/atom. The value obtained for the density of states at the Fermi level is 8.03 states/eV/f.u.

13.
Compound: ZrTa2TlSn
Source: Alexandria via LeMat-Bulk
Functional: PBEsol
Structure: relaxed

The structure belongs to space group P4/mmm (No. 123); the cell edges are 5.021, 5.021 and 5.202 Å and the angles 90.00°, 90.00° and 90.00°. The inequivalent atoms are Zr at (0.000, 0.000, 0.000), Ta at (0.000, 0.500, 0.500), Tl at (0.000, 0.000, 0.500) and Sn at (0.500, 0.500, 0.000).

As for the formation energy: 1.73 eV per atom. The value obtained for the mass density is 9.83 g cm⁻³. Its spin magnetization is 0.00 Bohr magnetons per cell. The value obtained for the density of states at the Fermi level is 5.42 states/eV/f.u.

14.
Compound: TaZn3Sn
Source: Alexandria via LeMat-Bulk
Functional: PBEsol
Structure: relaxed

The structure belongs to space group Pm-3m (No. 221); the cell edges are 4.936, 4.936 and 4.936 Å and the angles 90.00°, 90.00° and 90.00°. The inequivalent atoms are Ta at (0.000, 0.000, 0.000), Zn at (0.000, 0.000, 0.500) and Sn at (0.500, 0.500, 0.500).

As for the formation energy: 1.07 eV per atom. The value obtained for the mass density is 6.85 g cm⁻³. Its spin magnetization is 0.00 Bohr magnetons per cell. The distance to the lowest polymorph of the same formula is 0.0000 eV/atom. The value obtained for the density of states at the Fermi level is 5.23 states/eV/f.u.

15.
Compound: TaZn3Sn
Source: Alexandria via LeMat-Bulk
Functional: PBEsol
Structure: relaxed

The structure belongs to space group Pm-3m (No. 221); the cell edges are 4.816, 4.816 and 4.816 Å and the angles 90.00°, 90.00° and 90.00°. The inequivalent atoms are Ta at (0.000, 0.000, 0.000), Zn at (0.000, 0.500, 0.500) and Sn at (0.500, 0.500, 0.500).

As for the formation energy: 1.50 eV per atom. The value obtained for the mass density is 7.37 g cm⁻³. Its spin magnetization is 0.61 Bohr magnetons per cell. The distance to the lowest polymorph of the same formula is 0.4289 eV/atom. The value obtained for the density of states at the Fermi level is 4.57 states/eV/f.u.

16.
Compound: Tb3Sn7
Source: Alexandria via LeMat-Bulk
Functional: PBEsol
Structure: relaxed

The structure belongs to space group Cmmm (No. 65); the cell edges are 4.355, 26.083 and 4.383 Å and the angles 90.00°, 90.00° and 90.00°. The inequivalent atoms are Tb at (0.000, 0.000, 0.000), Tb at (0.000, 0.311, 0.500), Sn at (0.000, 0.097, 0.500), Sn at (0.000, 0.211, 0.000), Sn at (0.000, 0.403, 0.000) and Sn at (0.000, 0.500, 0.500).

As for the formation energy: -0.62 eV per atom. The value obtained for the mass density is 8.72 g cm⁻³. Its spin magnetization is 0.00 Bohr magnetons per cell. The value obtained for the density of states at the Fermi level is 3.19 states/eV/f.u.

17.
Compound: Tb11Sn10
Source: Alexandria via LeMat-Bulk
Functional: PBEsol
Structure: relaxed

The structure belongs to space group I4/mmm (No. 139); the cell edges are 11.510, 11.510 and 16.830 Å and the angles 90.00°, 90.00° and 90.00°. The inequivalent atoms are Tb at (0.000, 0.000, 0.168), Tb at (0.000, 0.251, 0.311), Tb at (0.000, 0.331, 0.102), Tb at (0.174, 0.174, 0.500), Sn at (0.000, 0.000, 0.389), Sn at (0.000, 0.356, 0.500), Sn at (0.000, 0.500, 0.250), Sn at (0.130, 0.130, 0.000) and Sn at (0.206, 0.206, 0.176).

As for the formation energy: -0.80 eV per atom. The value obtained for the mass density is 8.74 g cm⁻³. Its spin magnetization is 0.00 Bohr magnetons per cell. The value obtained for the density of states at the Fermi level is 13.20 states/eV/f.u.

18.
Compound: TbZnSn2
Source: Alexandria via LeMat-Bulk
Functional: PBEsol
Structure: relaxed

The structure belongs to space group P4/nmm (No. 129, origin choice 2); the cell edges are 4.298, 4.298 and 9.653 Å and the angles 90.00°, 90.00° and 90.00°. The inequivalent atoms are Tb at (0.250, 0.250, 0.247), Zn at (0.250, 0.750, 0.000), Sn at (0.250, 0.250, 0.815) and Sn at (0.250, 0.750, 0.500).

As for the formation energy: -0.52 eV per atom. The value obtained for the mass density is 8.60 g cm⁻³. Its spin magnetization is 0.00 Bohr magnetons per cell. The value obtained for the density of states at the Fermi level is 1.68 states/eV/f.u.

19.
Compound: YTcSn2Te
Source: Alexandria via LeMat-Bulk
Functional: PBEsol
Structure: relaxed

The structure belongs to space group P4/mmm (No. 123); the cell edges are 5.705, 5.705 and 4.700 Å and the angles 90.00°, 90.00° and 90.00°. The inequivalent atoms are Y at (0.000, 0.000, 0.000), Tc at (0.000, 0.000, 0.500), Sn at (0.000, 0.500, 0.000) and Te at (0.500, 0.500, 0.500).

The value obtained for the uncorrected formation energy is 1.17 eV per atom. The value obtained for the mass density is 5.99 g cm⁻³. Its spin magnetization is 1.00 Bohr magnetons per cell. The value obtained for the density of states at the Fermi level is 4.73 states/eV/f.u.

20.
Compound: Ti2Tc2Sn
Source: Alexandria via LeMat-Bulk
Functional: PBEsol
Structure: relaxed

The structure belongs to space group I4/mmm (No. 139); the cell edges are 3.445, 3.445 and 15.015 Å and the angles 90.00°, 90.00° and 90.00°. The inequivalent atoms are Ti at (0.000, 0.000, 0.108), Tc at (0.000, 0.500, 0.250) and Sn at (0.000, 0.000, 0.500).

As for the formation energy: 0.19 eV per atom. The value obtained for the mass density is 7.65 g cm⁻³. Its spin magnetization is 0.01 Bohr magnetons per cell. The value obtained for the density of states at the Fermi level is 6.43 states/eV/f.u.